No. 1
Density functional theory data (PBE) for Pm2Dy5Rh4 after structural relaxation.

Lattice parameters (Å, degrees): 24.1498 3.6003 6.8689 90.00 93.36 90.00
Last column: nearest neighbours and their distance in Å.
Space group C2/m (No. 12)
One atom of each set of equivalent atoms:
Pm  0.0864  0.0000  0.1566 [4 per cell]  4 Rh 2.76-3.00
Dy  0.0000  0.5000  0.5000 [2 per cell]  4 Rh 2.78
Dy  0.1341  0.0000  0.6796 [4 per cell]  3 Rh 2.73-2.82
Dy  0.2326  0.0000  0.2178 [4 per cell]  3 Rh 2.80-2.83
Rh  0.0281  0.0000  0.7979 [4 per cell]  3 Dy 2.73-2.78, 2 Pm 2.76-2.80
Rh  0.1691  0.5000  0.9787 [4 per cell]  5 Dy 2.80-2.83, 2 Pm 3.00

Output
Density (g cm⁻³): 8.4
Density of states at the Fermi level (states/eV/f.u.): 8.94
Formation enthalpy at 0 K (eV/atom): -0.41
Size of the total moment (Bohr magnetons per cell): 0.00
E_tot (eV/f.u.): -66.47

No. 2
Density functional theory data (PBE) for PmDy2Rh after structural relaxation.

Lattice parameters (Å, degrees): 3.8035 12.1213 9.4919 90.00 90.00 90.00
Last column: nearest neighbours and their distance in Å.
Space group Cmcm (No. 63)
One atom of each set of equivalent atoms:
Pm  0.0000  0.0747  0.2500 [4 per cell]  2 Rh 2.93
Dy  0.0000  0.3601  0.0681 [8 per cell]  2 Rh 2.85
Rh  0.0000  0.2412  0.7500 [4 per cell]  4 Dy 2.85, 2 Pm 2.93

Output
Density (g cm⁻³): 8.7
Density of states at the Fermi level (states/eV/f.u.): 5.08
Formation enthalpy at 0 K (eV/atom): -0.47
Size of the total moment (Bohr magnetons per cell): 0.00
E_tot (eV/f.u.): -23.20

No. 3
Density functional theory data (PBE) for PmDyRh2 after structural relaxation.

Lattice parameters (Å, degrees): 4.8660 4.8660 3.5383 90.00 90.00 90.00
Last column: nearest neighbours and their distance in Å.
Space group P4/mmm (No. 123)
One atom of each set of equivalent atoms:
Pm  0.0000  0.0000  0.0000 [1 per cell]  8 Rh 3.01
Dy  0.5000  0.5000  0.0000 [1 per cell]  8 Rh 3.01
Rh  0.0000  0.5000  0.5000 [2 per cell]  4 Dy 3.01, 4 Pm 3.01

Output
Density (g cm⁻³): 10.2
Density of states at the Fermi level (states/eV/f.u.): 2.68
Formation enthalpy at 0 K (eV/atom): -0.77
Size of the total moment (Bohr magnetons per cell): 0.00
E_tot (eV/f.u.): -27.14

No. 4
Density functional theory data (PBE) for PmDy2Rh after structural relaxation.

Lattice parameters (Å, degrees): 4.6595 4.6595 17.5903 90.00 90.00 120.00
Last column: nearest neighbours and their distance in Å.
Space group R-3m (No. 166, hexagonal axes)
One atom of each set of equivalent atoms:
Pm  0.0000  0.0000  0.0000 [3 per cell]  6 Dy 3.35
Dy  0.0000  0.0000  0.2201 [6 per cell]  3 Rh 2.85
Rh  0.0000  0.0000  0.5000 [3 per cell]  6 Dy 2.85

Output
Density (g cm⁻³): 8.6
Density of states at the Fermi level (states/eV/f.u.): 4.18
Formation enthalpy at 0 K (eV/atom): -0.16
Size of the total moment (Bohr magnetons per cell): 0.00
E_tot (eV/f.u.): -21.95

No. 5
Density functional theory data (PBE) for PmDy2Rh after structural relaxation.

Lattice parameters (Å, degrees): 7.2021 9.5285 6.4000 90.00 90.00 90.00
Last column: nearest neighbours and their distance in Å.
Space group Pnma (No. 62)
One atom of each set of equivalent atoms:
Pm  0.0345  0.2500  0.1374 [4 per cell]  2 Rh 2.83-2.97
Dy  0.1763  0.0645  0.6697 [8 per cell]  2 Rh 2.83-2.85
Rh  0.1176  0.7500  0.4315 [4 per cell]  2 Pm 2.83-2.97, 4 Dy 2.83-2.85

Output
Density (g cm⁻³): 8.7
Density of states at the Fermi level (states/eV/f.u.): 4.63
Formation enthalpy at 0 K (eV/atom): -0.50
Size of the total moment (Bohr magnetons per cell): 0.00
E_tot (eV/f.u.): -23.32

No. 6
Density functional theory data (PBE) for Pm2DyRh after structural relaxation.

Lattice parameters (Å, degrees): 6.7032 6.4114 11.4736 90.00 90.00 90.00
Last column: nearest neighbours and their distance in Å.
Space group Pnna (No. 52)
One atom of each set of equivalent atoms:
Pm  0.0902  0.2442  0.0868 [8 per cell]  2 Rh 2.81
Dy  0.0696  0.2500  0.7500 [4 per cell]  2 Rh 2.73
Rh  0.2500  0.0000  0.5891 [4 per cell]  2 Dy 2.73, 4 Pm 2.81

Output
Density (g cm⁻³): 7.5
Density of states at the Fermi level (states/eV/f.u.): 3.75
Formation enthalpy at 0 K (eV/atom): -0.37
Size of the total moment (Bohr magnetons per cell): 0.00
E_tot (eV/f.u.): -22.93

No. 7
Density functional theory data (PBE) for Pm5Dy2Rh4 after structural relaxation.

Lattice parameters (Å, degrees): 24.2638 3.6695 6.9258 90.00 91.98 90.00
Last column: nearest neighbours and their distance in Å.
Space group C2/m (No. 12)
One atom of each set of equivalent atoms:
Pm  0.0000  0.0000  0.0000 [2 per cell]  4 Rh 2.84
Pm  0.1334  0.5000  0.1748 [4 per cell]  3 Rh 2.78-2.91
Pm  0.2309  0.5000  0.7219 [4 per cell]  3 Rh 2.88-2.90
Dy  0.0856  0.5000  0.6430 [4 per cell]  4 Rh 2.73-2.94
Rh  0.0260  0.5000  0.3019 [4 per cell]  2 Dy 2.73-2.75, 3 Pm 2.78-2.84
Rh  0.1670  0.0000  0.4837 [4 per cell]  5 Pm 2.88-2.91, 2 Dy 2.94

Output
Density (g cm⁻³): 7.9
Density of states at the Fermi level (states/eV/f.u.): 7.16
Formation enthalpy at 0 K (eV/atom): -0.38
Size of the total moment (Bohr magnetons per cell): 0.00
E_tot (eV/f.u.): -66.57

No. 8
Density functional theory data (PBE) for PmDy3Rh2 after structural relaxation.

Lattice parameters (Å, degrees): 16.2090 4.2620 10.8040 90.00 116.49 90.00
Last column: nearest neighbours and their distance in Å.
Space group C2/m (No. 12)
One atom of each set of equivalent atoms:
Pm  0.0557  0.0000  0.2116 [4 per cell]  3 Rh 2.90-2.93
Dy  0.0745  0.5000  0.6688 [4 per cell]  3 Rh 2.75-2.83
Dy  0.1700  0.5000  0.0309 [4 per cell]  3 Rh 2.79-2.80
Dy  0.2119  0.0000  0.5931 [4 per cell]  3 Rh 2.80-2.81
Rh  0.1182  0.5000  0.4190 [4 per cell]  5 Dy 2.80-3.08, 2 Pm 2.93
Rh  0.1371  0.0000  0.8474 [4 per cell]  5 Dy 2.75-2.80, 1 Pm 2.90

Output
Density (g cm⁻³): 8.3
Density of states at the Fermi level (states/eV/f.u.): 5.30
Formation enthalpy at 0 K (eV/atom): -0.57
Size of the total moment (Bohr magnetons per cell): 0.00
E_tot (eV/f.u.): -36.69

No. 9
Density functional theory data (PBE) for Pm2DyRh after structural relaxation.

Lattice parameters (Å, degrees): 7.2545 9.8631 6.3376 90.00 90.00 90.00
Last column: nearest neighbours and their distance in Å.
Space group Pnma (No. 62)
One atom of each set of equivalent atoms:
Pm  0.1783  0.0652  0.1699 [8 per cell]  2 Rh 2.91-2.93
Dy  0.0368  0.2500  0.6482 [4 per cell]  2 Rh 2.79-2.83
Rh  0.1217  0.7500  0.9441 [4 per cell]  2 Dy 2.79-2.83, 4 Pm 2.91-2.93

Output
Density (g cm⁻³): 8.1
Density of states at the Fermi level (states/eV/f.u.): 4.38
Formation enthalpy at 0 K (eV/atom): -0.47
Size of the total moment (Bohr magnetons per cell): 0.00
E_tot (eV/f.u.): -23.32

No. 10
Density functional theory data (PBE) for PmDyRh2 after structural relaxation.

Lattice parameters (Å, degrees): 6.9434 6.9434 6.9434 90.00 90.00 90.00
Last column: nearest neighbours and their distance in Å.
Space group Fm-3m (No. 225)
One atom of each set of equivalent atoms:
Pm  0.0000  0.0000  0.0000 [4 per cell]  8 Rh 3.01
Dy  0.0000  0.0000  0.5000 [4 per cell]  8 Rh 3.01
Rh  0.2500  0.2500  0.2500 [8 per cell]  4 Dy 3.01, 4 Pm 3.01

Output
Density (g cm⁻³): 10.2
Density of states at the Fermi level (states/eV/f.u.): 2.82
Formation enthalpy at 0 K (eV/atom): -0.78
Size of the total moment (Bohr magnetons per cell): 0.00
E_tot (eV/f.u.): -27.16

No. 11
Density functional theory data (PBE) for Pm3DyRh after structural relaxation.

Lattice parameters (Å, degrees): 9.4804 7.3709 8.8990 90.00 90.00 90.00
Last column: nearest neighbours and their distance in Å.
Space group Ima2 (No. 46)
One atom of each set of equivalent atoms:
Pm  0.0410  0.2484  0.0000 [8 per cell]  1 Rh 2.76
Pm  0.2500  0.5116  0.7522 [4 per cell]  2 Rh 2.83-2.84
Dy  0.2500  0.5241  0.2477 [4 per cell]  2 Rh 2.77-2.79
Rh  0.2500  0.7447  0.5000 [4 per cell]  4 Pm 2.76-2.84, 2 Dy 2.77-2.79

Output
Density (g cm⁻³): 7.5
Density of states at the Fermi level (states/eV/f.u.): 6.23
Formation enthalpy at 0 K (eV/atom): -0.27
Size of the total moment (Bohr magnetons per cell): 0.00
E_tot (eV/f.u.): -27.56

No. 12
Density functional theory data (PBE) for PmDy5Rh6 after structural relaxation.

Lattice parameters (Å, degrees): 4.8591 14.5982 6.8944 90.00 90.00 90.00
Last column: nearest neighbours and their distance in Å.
Space group Cmmm (No. 65)
One atom of each set of equivalent atoms:
Pm  0.0000  0.0000  0.0000 [2 per cell]  8 Rh 3.00-3.01
Dy  0.0000  0.0000  0.5000 [2 per cell]  8 Rh 2.96-2.99
Dy  0.0000  0.3324  0.0000 [4 per cell]  8 Rh 2.96-3.01
Dy  0.0000  0.3331  0.5000 [4 per cell]  8 Rh 2.95-2.97
Rh  0.0000  0.1684  0.2521 [8 per cell]  7 Dy 2.95-2.99, 1 Pm 3.01
Rh  0.0000  0.5000  0.2552 [4 per cell]  6 Dy 2.96-3.01, 2 Pm 3.00

Output
Density (g cm⁻³): 10.7
Density of states at the Fermi level (states/eV/f.u.): 7.43
Formation enthalpy at 0 K (eV/atom): -0.84
Size of the total moment (Bohr magnetons per cell): 0.00
E_tot (eV/f.u.): -81.95